Material: Cr2Ge2N
Method: DFT, PBE
State: relaxed

```
10
Lattice="5.240 0.000 0.000 0.000 5.240 0.000 0.000 0.000 4.832" Properties=species:S:1:pos:R:3 pbc="T T T"
Ge 3.625 4.235 2.416
Ge 4.235 1.615 2.416
Ge 1.005 3.625 2.416
Ge 1.615 1.005 2.416
N 2.620 2.620 0.000
N 0.000 0.000 0.000
Cr 3.565 0.945 0.000
Cr 0.945 1.675 0.000
Cr 4.295 3.565 0.000
Cr 1.675 4.295 0.000
```

- Polymorph energy (0 for the lowest one): 0 meV/atom
- Total magnetic moment: 0.4979 μB per atom
- Crystal system: tetragonal
- Formation energy (no corrections): 0.132 eV/atom

Material: CrGeN
Method: DFT, PBE
State: relaxed

```
6
Lattice="3.200 0.000 0.000 1.600 2.771 0.000 1.600 0.924 9.307" Properties=species:S:1:pos:R:3 pbc="T T T"
N 3.200 1.848 1.067
N 3.200 1.848 8.240
Ge 4.800 2.771 3.423
Ge 1.600 0.924 5.884
Cr 1.600 0.924 0.916
Cr 4.800 2.771 8.391
```

- Total magnetic moment: 0.0000 μB per atom
- Crystal system: trigonal
- Formation energy (no corrections): -0.042 eV/atom

Material: Cr2GeN
Method: DFT, PBE
State: relaxed

```
4
Lattice="2.907 0.000 0.000 1.454 2.518 0.000 1.454 0.839 6.123" Properties=species:S:1:pos:R:3 pbc="T T T"
Cr 4.361 2.518 4.063
Cr 1.454 0.839 2.060
Ge 0.000 0.000 0.000
N 2.907 1.679 3.061
```

- Total magnetic moment: 0.0000 μB per atom
- Crystal system: trigonal
- Formation energy (no corrections): -0.269 eV/atom

Material: Cr2GeN
Method: DFT, PBE
State: relaxed

```
4
Lattice="3.357 0.368 2.130 0.159 -1.402 3.735 2.202 -3.226 0.829" Properties=species:S:1:pos:R:3 pbc="T T T"
Cr 4.288 -3.195 5.020
Cr 1.429 -1.065 1.673
Ge 2.859 -2.130 3.347
N 0.000 0.000 0.000
```

- Total magnetic moment: 0.3852 μB per atom
- Crystal system: cubic
- Formation energy (no corrections): 0.796 eV/atom

Material: Cr6GeN
Method: DFT, PBE
State: relaxed

```
8
Lattice="4.938 -0.371 -0.403 2.129 4.495 0.324 1.991 1.847 4.334" Properties=species:S:1:pos:R:3 pbc="T T T"
Cr 5.425 5.516 3.393
Cr 2.009 2.762 1.229
Cr 3.633 0.455 0.862
Cr 7.700 5.412 3.085
Cr 7.049 3.210 3.026
Cr 1.358 0.559 1.170
Ge 4.529 2.986 2.128
N 0.000 0.000 0.000
```

- Total magnetic moment: 0.0000 μB per atom
- Crystal system: triclinic
- Formation energy (no corrections): 0.124 eV/atom

Material: Cr2GeN
Method: DFT, PBE
State: relaxed

```
8
Lattice="6.137 0.000 0.000 0.000 6.137 0.000 3.068 3.068 2.489" Properties=species:S:1:pos:R:3 pbc="T T T"
Cr 3.974 1.534 0.622
Cr 4.603 5.231 1.867
Cr 7.671 7.042 1.867
Cr 2.163 4.603 0.622
N 3.068 6.137 1.245
N 3.068 3.068 0.000
Ge 6.137 3.068 1.245
Ge 0.000 0.000 0.000
```

- Total magnetic moment: 0.2410 μB per atom
- Crystal system: tetragonal
- Formation energy (no corrections): 0.048 eV/atom

Material: NbCr2GeN
Method: DFT, PBE
State: relaxed

```
5
Lattice="3.879 0.000 0.000 0.000 3.879 0.000 0.000 0.000 4.196" Properties=species:S:1:pos:R:3 pbc="T T T"
N 0.000 0.000 0.000
Cr 0.000 1.939 0.000
Cr 1.939 0.000 0.000
Ge 1.939 1.939 2.098
Nb 0.000 0.000 2.098
```

- Total magnetic moment: 0.0002 μB per atom
- Crystal system: tetragonal
- Formation energy (no corrections): -0.281 eV/atom

| no. | VASP energy (eV per atom) |
| --- | --- |
| 1 | -7.229 |
| 2 | -7.564 |
| 3 | -8.316 |
| 4 | -7.251 |
| 5 | -8.712 |
| 6 | -7.999 |
| 7 | -8.733 |